# Dy8TlGe3Te4 PBE relaxed
# * formation energy without anion corrections: -1.07 eV per atom
# * calculated volume: 28.135 Å³ per atom
# * ρ: 8.24 g cm⁻³
# * SG: R-3m
data_Dy8TlGe3Te4
_chemical_formula_sum 'Dy8 Tl1 Ge3 Te4'
_cell_length_a 8.522
_cell_length_b 8.685
_cell_length_c 8.522
_cell_angle_alpha 119.39
_cell_angle_beta 120.00
_cell_angle_gamma 90.00
_symmetry_space_group_name_H-M 'P 1'
_symmetry_Int_Tables_number 1
_symmetry_space_group_name_Hall 'P 1'
loop_
_atom_site_label
_atom_site_type_symbol
_atom_site_fract_x
_atom_site_fract_y
_atom_site_fract_z
Dy1 Dy 0.249 0.729 0.981
Dy2 Dy 0.249 0.729 0.497
Dy3 Dy 0.261 0.283 0.522
Dy4 Dy 0.732 0.729 0.981
Dy5 Dy 0.268 0.271 0.019
Dy6 Dy 0.739 0.717 0.478
Dy7 Dy 0.751 0.271 0.503
Dy8 Dy 0.751 0.271 0.019
Tl1 Tl 0.000 0.500 0.000
Ge1 Ge 0.500 0.500 0.000
Ge2 Ge 0.500 0.500 0.500
Ge3 Ge 0.000 0.500 0.500
Te1 Te 0.500 0.000 0.000
Te2 Te 0.500 0.000 0.500
Te3 Te 0.000 0.000 0.000
Te4 Te 0.000 0.000 0.500

# Ta2TeOs PBE relaxed
# * formation energy without anion corrections: 0.38 eV per atom
# * calculated volume: 17.792 Å³ per atom
# * ρ: 15.86 g cm⁻³
# * SG: P4/mmm
data_Ta2TeOs
_chemical_formula_sum 'Ta2 Te1 Os1'
_cell_length_a 4.424
_cell_length_b 4.011
_cell_length_c 4.011
_cell_angle_alpha 90.00
_cell_angle_beta 90.00
_cell_angle_gamma 90.00
_symmetry_space_group_name_H-M 'P 1'
_symmetry_Int_Tables_number 1
_symmetry_space_group_name_Hall 'P 1'
loop_
_atom_site_label
_atom_site_type_symbol
_atom_site_fract_x
_atom_site_fract_y
_atom_site_fract_z
Os1 Os 0.500 0.000 0.500
Ta1 Ta 0.000 0.000 0.000
Ta2 Ta 0.000 0.500 0.500
Te1 Te 0.500 0.500 0.000

# Y6As2Se3I PBE relaxed
# * formation energy without anion corrections: -1.54 eV per atom
# * calculated volume: 25.444 Å³ per atom
# * ρ: 5.69 g cm⁻³
# * SG: C2/m
data_Y6As2Se3I
_chemical_formula_sum 'Y6 As2 Se3 I1'
_cell_length_a 4.144
_cell_length_b 8.351
_cell_length_c 9.270
_cell_angle_alpha 102.16
_cell_angle_beta 102.92
_cell_angle_gamma 90.00
_symmetry_space_group_name_H-M 'P 1'
_symmetry_Int_Tables_number 1
_symmetry_space_group_name_Hall 'P 1'
loop_
_atom_site_label
_atom_site_type_symbol
_atom_site_fract_x
_atom_site_fract_y
_atom_site_fract_z
Y1 Y 0.317 0.894 0.635
Y2 Y 0.669 0.577 0.339
Y3 Y 0.683 0.106 0.365
Y4 Y 0.008 0.288 0.015
Y5 Y 0.992 0.712 0.985
Y6 Y 0.331 0.423 0.661
As1 As 0.832 0.667 0.665
As2 As 0.168 0.333 0.335
Se1 Se 0.500 0.500 0.000
Se2 Se 0.843 0.164 0.686
Se3 Se 0.157 0.836 0.314
I1 I 0.500 0.000 0.000

# DyEr4Ge4 PBE relaxed
# * calculated volume: 26.492 Å³ per atom
# * ρ: 7.81 g cm⁻³
# * ΔE_f: -573 meV per atom
# * SG: P4_2/n
data_DyEr4Ge4
_chemical_formula_sum 'Dy2 Er8 Ge8'
_cell_length_a 5.760
_cell_length_b 9.099
_cell_length_c 9.099
_cell_angle_alpha 90.00
_cell_angle_beta 90.00
_cell_angle_gamma 90.00
_symmetry_space_group_name_H-M 'P 1'
_symmetry_Int_Tables_number 1
_symmetry_space_group_name_Hall 'P 1'
loop_
_atom_site_label
_atom_site_type_symbol
_atom_site_fract_x
_atom_site_fract_y
_atom_site_fract_z
Dy1 Dy 0.000 0.000 0.000
Dy2 Dy 0.500 0.500 0.500
Er1 Er 0.388 0.332 0.903
Er2 Er 0.888 0.597 0.832
Er3 Er 0.388 0.668 0.097
Er4 Er 0.112 0.168 0.597
Er5 Er 0.612 0.903 0.668
Er6 Er 0.112 0.832 0.403
Er7 Er 0.888 0.403 0.168
Er8 Er 0.612 0.097 0.332
Ge1 Ge 0.610 0.780 0.366
Ge2 Ge 0.610 0.220 0.634
Ge3 Ge 0.110 0.866 0.720
Ge4 Ge 0.890 0.280 0.866
Ge5 Ge 0.890 0.720 0.134
Ge6 Ge 0.390 0.366 0.220
Ge7 Ge 0.390 0.634 0.780
Ge8 Ge 0.110 0.134 0.280

# Dy2Al3Cu PBE relaxed
# * calculated volume: 19.385 Å³ per atom
# * ρ: 6.70 g cm⁻³
# * ΔE_f: -466 meV per atom
# * SG: R-3m
data_Dy2Al3Cu
_chemical_formula_sum 'Dy2 Al3 Cu1'
_cell_length_a 5.426
_cell_length_b 5.426
_cell_length_c 5.426
_cell_angle_alpha 61.31
_cell_angle_beta 61.31
_cell_angle_gamma 61.31
_symmetry_space_group_name_H-M 'P 1'
_symmetry_Int_Tables_number 1
_symmetry_space_group_name_Hall 'P 1'
loop_
_atom_site_label
_atom_site_type_symbol
_atom_site_fract_x
_atom_site_fract_y
_atom_site_fract_z
Dy1 Dy 0.624 0.624 0.624
Dy2 Dy 0.376 0.376 0.376
Al1 Al 0.000 0.500 0.000
Al2 Al 0.500 0.000 0.000
Al3 Al 0.000 0.000 0.500
Cu1 Cu 0.000 0.000 0.000

# CsCdMoAu2 PBE relaxed
# * calculated volume: 50.668 Å³ per atom
# * ρ: 4.82 g cm⁻³
# * ΔE_f: 1825 meV per atom
# * SG: P4/mmm
data_CsCdMoAu2
_chemical_formula_sum 'Cs1 Cd1 Mo1 Au2'
_cell_length_a 6.220
_cell_length_b 6.548
_cell_length_c 6.220
_cell_angle_alpha 90.00
_cell_angle_beta 90.00
_cell_angle_gamma 90.00
_symmetry_space_group_name_H-M 'P 1'
_symmetry_Int_Tables_number 1
_symmetry_space_group_name_Hall 'P 1'
loop_
_atom_site_label
_atom_site_type_symbol
_atom_site_fract_x
_atom_site_fract_y
_atom_site_fract_z
Cs1 Cs 0.000 0.000 0.000
Mo1 Mo 0.000 0.500 0.000
Au1 Au 0.000 0.000 0.500
Au2 Au 0.500 0.000 0.000
Cd1 Cd 0.500 0.500 0.500

# CaVCoP2 PBE relaxed
# * calculated volume: 15.943 Å³ per atom
# * ρ: 4.41 g cm⁻³
# * ΔE_f: -816 meV per atom
# * SG: I-4m2
data_CaVCoP2
_chemical_formula_sum 'Ca1 V1 Co1 P2'
_cell_length_a 3.897
_cell_length_b 3.897
_cell_length_c 5.929
_cell_angle_alpha 109.18
_cell_angle_beta 109.18
_cell_angle_gamma 90.00
_symmetry_space_group_name_H-M 'P 1'
_symmetry_Int_Tables_number 1
_symmetry_space_group_name_Hall 'P 1'
loop_
_atom_site_label
_atom_site_type_symbol
_atom_site_fract_x
_atom_site_fract_y
_atom_site_fract_z
Ca1 Ca 0.000 0.000 0.000
V1 V 0.750 0.250 0.500
Co1 Co 0.250 0.750 0.500
P1 P 0.634 0.634 0.268
P2 P 0.366 0.366 0.732

# CaDy5Y8 PBE relaxed
# * calculated volume: 33.458 Å³ per atom
# * ρ: 5.54 g cm⁻³
# * ΔE_f: 284 meV per atom
# * SG: I-4
data_CaDy5Y8
_chemical_formula_sum 'Ca1 Dy5 Y8'
_cell_length_a 8.479
_cell_length_b 8.479
_cell_length_c 8.479
_cell_angle_alpha 110.84
_cell_angle_beta 110.84
_cell_angle_gamma 106.76
_symmetry_space_group_name_H-M 'P 1'
_symmetry_Int_Tables_number 1
_symmetry_space_group_name_Hall 'P 1'
loop_
_atom_site_label
_atom_site_type_symbol
_atom_site_fract_x
_atom_site_fract_y
_atom_site_fract_z
Ca1 Ca 0.250 0.750 0.500
Dy1 Dy 0.877 0.283 0.819
Dy2 Dy 0.717 0.536 0.595
Dy3 Dy 0.464 0.059 0.181
Dy4 Dy 0.500 0.500 0.000
Dy5 Dy 0.941 0.123 0.405
Y1 Y 0.014 0.774 0.100
Y2 Y 0.226 0.326 0.239
Y3 Y 0.596 0.825 0.416
Y4 Y 0.175 0.591 0.771
Y5 Y 0.820 0.404 0.229
Y6 Y 0.086 0.986 0.761
Y7 Y 0.674 0.914 0.900
Y8 Y 0.409 0.180 0.584

# HfAg PBE relaxed
# * calculated volume: 21.118 Å³ per atom
# * ρ: 11.26 g cm⁻³
# * ΔE_f: 189 meV per atom
# * SG: P4/m
data_HfAg
_chemical_formula_sum 'Hf8 Ag8'
_cell_length_a 10.423
_cell_length_b 10.423
_cell_length_c 3.110
_cell_angle_alpha 90.00
_cell_angle_beta 90.00
_cell_angle_gamma 90.00
_symmetry_space_group_name_H-M 'P 1'
_symmetry_Int_Tables_number 1
_symmetry_space_group_name_Hall 'P 1'
loop_
_atom_site_label
_atom_site_type_symbol
_atom_site_fract_x
_atom_site_fract_y
_atom_site_fract_z
Hf1 Hf 0.667 0.389 0.500
Hf2 Hf 0.333 0.611 0.500
Hf3 Hf 0.611 0.667 0.500
Hf4 Hf 0.389 0.333 0.500
Hf5 Hf 0.850 0.586 0.000
Hf6 Hf 0.150 0.414 0.000
Hf7 Hf 0.414 0.850 0.000
Hf8 Hf 0.586 0.150 0.000
Ag1 Ag 0.912 0.824 0.500
Ag2 Ag 0.088 0.176 0.500
Ag3 Ag 0.176 0.912 0.500
Ag4 Ag 0.824 0.088 0.500
Ag5 Ag 0.892 0.310 0.000
Ag6 Ag 0.108 0.690 0.000
Ag7 Ag 0.690 0.892 0.000
Ag8 Ag 0.310 0.108 0.000

# LiGaPt PBE relaxed
# * calculated volume: 17.366 Å³ per atom
# * ρ: 8.66 g cm⁻³
# * ΔE_f: -552 meV per atom
# * SG: F-43m
data_LiGaPt
_chemical_formula_sum 'Li1 Ga1 Pt1'
_cell_length_a 4.192
_cell_length_b 4.192
_cell_length_c 4.192
_cell_angle_alpha 60.00
_cell_angle_beta 60.00
_cell_angle_gamma 60.00
_symmetry_space_group_name_H-M 'P 1'
_symmetry_Int_Tables_number 1
_symmetry_space_group_name_Hall 'P 1'
loop_
_atom_site_label
_atom_site_type_symbol
_atom_site_fract_x
_atom_site_fract_y
_atom_site_fract_z
Ga1 Ga 0.000 0.000 0.000
Pt1 Pt 0.250 0.250 0.250
Li1 Li 0.500 0.500 0.500

# Li2TaIn PBE relaxed
# * calculated volume: 18.424 Å³ per atom
# * ρ: 6.98 g cm⁻³
# * ΔE_f: 238 meV per atom
# * SG: P2/m
data_Li2TaIn
_chemical_formula_sum 'Li2 Ta1 In1'
_cell_length_a 4.851
_cell_length_b 2.863
_cell_length_c 5.316
_cell_angle_alpha 86.37
_cell_angle_beta 90.00
_cell_angle_gamma 90.00
_symmetry_space_group_name_H-M 'P 1'
_symmetry_Int_Tables_number 1
_symmetry_space_group_name_Hall 'P 1'
loop_
_atom_site_label
_atom_site_type_symbol
_atom_site_fract_x
_atom_site_fract_y
_atom_site_fract_z
In1 In 0.500 0.750 0.750
Li1 Li 0.000 0.914 0.017
Li2 Li 0.000 0.586 0.483
Ta1 Ta 0.500 0.250 0.250

# ZnSi2WCl PBE relaxed
# * formation energy without anion corrections: 1.53 eV per atom
# * calculated volume: 20.075 Å³ per atom
# * ρ: 5.64 g cm⁻³
# * SG: P4/mmm
data_ZnSi2WCl
_chemical_formula_sum 'Zn1 Si2 W1 Cl1'
_cell_length_a 4.560
_cell_length_b 4.828
_cell_length_c 4.560
_cell_angle_alpha 90.00
_cell_angle_beta 90.00
_cell_angle_gamma 90.00
_symmetry_space_group_name_H-M 'P 1'
_symmetry_Int_Tables_number 1
_symmetry_space_group_name_Hall 'P 1'
loop_
_atom_site_label
_atom_site_type_symbol
_atom_site_fract_x
_atom_site_fract_y
_atom_site_fract_z
Zn1 Zn 0.000 0.000 0.000
Si1 Si 0.000 0.000 0.500
Si2 Si 0.500 0.000 0.000
W1 W 0.500 0.500 0.500
Cl1 Cl 0.000 0.500 0.000

# SiTcMo PBE relaxed
# * formation energy without anion corrections: -0.21 eV per atom
# * calculated volume: 14.344 Å³ per atom
# * ρ: 8.57 g cm⁻³
# * offset from the most stable computed form: 164.2 meV/atom
# * SG: P1
data_SiTcMo
_chemical_formula_sum 'Si2 Tc2 Mo2'
_cell_length_a 4.503
_cell_length_b 4.757
_cell_length_c 4.964
_cell_angle_alpha 66.22
_cell_angle_beta 72.53
_cell_angle_gamma 63.40
_symmetry_space_group_name_H-M 'P 1'
_symmetry_Int_Tables_number 1
_symmetry_space_group_name_Hall 'P 1'
loop_
_atom_site_label
_atom_site_type_symbol
_atom_site_fract_x
_atom_site_fract_y
_atom_site_fract_z
Mo1 Mo 0.375 0.168 0.441
Mo2 Mo 0.918 0.344 0.965
Si1 Si 0.705 0.483 0.472
Si2 Si 0.262 0.691 0.926
Tc1 Tc 0.602 0.995 0.950
Tc2 Tc 0.064 0.823 0.425

# PrNd3Ho3 PBE relaxed
# * calculated volume: 33.852 Å³ per atom
# * ρ: 7.49 g cm⁻³
# * ΔE_f: 26 meV per atom
# * offset from the most stable computed form: 0.0 meV/atom
# * SG: P6_3/m
data_PrNd3Ho3
_chemical_formula_sum 'Pr2 Nd6 Ho6'
_cell_length_a 5.817
_cell_length_b 9.699
_cell_length_c 9.699
_cell_angle_alpha 120.00
_cell_angle_beta 90.00
_cell_angle_gamma 90.00
_symmetry_space_group_name_H-M 'P 1'
_symmetry_Int_Tables_number 1
_symmetry_space_group_name_Hall 'P 1'
loop_
_atom_site_label
_atom_site_type_symbol
_atom_site_fract_x
_atom_site_fract_y
_atom_site_fract_z
Pr1 Pr 0.250 0.667 0.333
Pr2 Pr 0.750 0.333 0.667
Nd1 Nd 0.750 0.622 0.526
Nd2 Nd 0.750 0.474 0.096
Nd3 Nd 0.750 0.904 0.378
Nd4 Nd 0.250 0.378 0.474
Nd5 Nd 0.250 0.526 0.904
Nd6 Nd 0.250 0.096 0.622
Ho1 Ho 0.250 0.814 0.768
Ho2 Ho 0.250 0.232 0.046
Ho3 Ho 0.250 0.954 0.186
Ho4 Ho 0.750 0.186 0.232
Ho5 Ho 0.750 0.768 0.954
Ho6 Ho 0.750 0.046 0.814

# Tl10Cd3Hg3 PBE relaxed
# * calculated volume: 29.606 Å³ per atom
# * ρ: 10.46 g cm⁻³
# * ΔE_f: 33 meV per atom
# * SG: P-62m
data_Tl10Cd3Hg3
_chemical_formula_sum 'Tl10 Cd3 Hg3'
_cell_length_a 6.592
_cell_length_b 9.109
_cell_length_c 9.109
_cell_angle_alpha 120.00
_cell_angle_beta 90.00
_cell_angle_gamma 90.00
_symmetry_space_group_name_H-M 'P 1'
_symmetry_Int_Tables_number 1
_symmetry_space_group_name_Hall 'P 1'
loop_
_atom_site_label
_atom_site_type_symbol
_atom_site_fract_x
_atom_site_fract_y
_atom_site_fract_z
Tl1 Tl 0.251 0.667 0.333
Tl2 Tl 0.251 0.333 0.667
Tl3 Tl 0.749 0.333 0.667
Tl4 Tl 0.749 0.667 0.333
Tl5 Tl 0.500 0.000 0.770
Tl6 Tl 0.500 0.770 0.000
Tl7 Tl 0.500 0.230 0.230
Tl8 Tl 0.000 0.000 0.229
Tl9 Tl 0.000 0.229 0.000
Tl10 Tl 0.000 0.771 0.771
Cd1 Cd 0.500 0.000 0.403
Cd2 Cd 0.500 0.403 0.000
Cd3 Cd 0.500 0.597 0.597
Hg1 Hg 0.000 0.000 0.594
Hg2 Hg 0.000 0.594 0.000
Hg3 Hg 0.000 0.406 0.406

# ScIrSe2 PBE relaxed
# * formation energy without anion corrections: -0.07 eV per atom
# * calculated volume: 18.289 Å³ per atom
# * ρ: 8.97 g cm⁻³
# * offset from the most stable computed form: 824.7 meV/atom
# * SG: F-43m
data_ScIrSe2
_chemical_formula_sum 'Sc1 Ir1 Se2'
_cell_length_a 4.694
_cell_length_b 4.694
_cell_length_c 4.694
_cell_angle_alpha 60.00
_cell_angle_beta 60.00
_cell_angle_gamma 60.00
_symmetry_space_group_name_H-M 'P 1'
_symmetry_Int_Tables_number 1
_symmetry_space_group_name_Hall 'P 1'
loop_
_atom_site_label
_atom_site_type_symbol
_atom_site_fract_x
_atom_site_fract_y
_atom_site_fract_z
Ir1 Ir 0.500 0.500 0.500
Sc1 Sc 0.250 0.250 0.250
Se1 Se 0.000 0.000 0.000
Se2 Se 0.750 0.750 0.750

# Li2ScW PBE relaxed
# * calculated volume: 17.869 Å³ per atom
# * ρ: 5.64 g cm⁻³
# * ΔE_f: 443 meV per atom
# * offset from the most stable computed form: 168.2 meV/atom
# * SG: Pmm2
data_Li2ScW
_chemical_formula_sum 'Li2 Sc1 W1'
_cell_length_a 2.640
_cell_length_b 4.562
_cell_length_c 5.934
_cell_angle_alpha 90.00
_cell_angle_beta 90.00
_cell_angle_gamma 90.00
_symmetry_space_group_name_H-M 'P 1'
_symmetry_Int_Tables_number 1
_symmetry_space_group_name_Hall 'P 1'
loop_
_atom_site_label
_atom_site_type_symbol
_atom_site_fract_x
_atom_site_fract_y
_atom_site_fract_z
Li1 Li 0.000 0.000 0.995
Li2 Li 0.500 0.500 0.237
Sc1 Sc 0.000 0.000 0.528
W1 W 0.500 0.500 0.741

# NbHRh3 PBE relaxed
# * calculated volume: 13.434 Å³ per atom
# * ρ: 9.95 g cm⁻³
# * offset from the most stable computed form: 507.2 meV/atom
# * SG: I-4m2
data_NbHRh3
_chemical_formula_sum 'Nb2 H2 Rh6'
_cell_length_a 5.202
_cell_length_b 5.202
_cell_length_c 6.179
_cell_angle_alpha 65.11
_cell_angle_beta 65.11
_cell_angle_gamma 90.00
_symmetry_space_group_name_H-M 'P 1'
_symmetry_Int_Tables_number 1
_symmetry_space_group_name_Hall 'P 1'
loop_
_atom_site_label
_atom_site_type_symbol
_atom_site_fract_x
_atom_site_fract_y
_atom_site_fract_z
H1 H 0.000 0.000 0.000
H2 H 0.250 0.750 0.500
Nb1 Nb 0.603 0.103 0.794
Nb2 Nb 0.897 0.397 0.206
Rh1 Rh 0.131 0.879 0.243
Rh2 Rh 0.121 0.869 0.757
Rh3 Rh 0.121 0.374 0.757
Rh4 Rh 0.626 0.879 0.243
Rh5 Rh 0.367 0.367 0.266
Rh6 Rh 0.633 0.633 0.734

# CdNiW2S PBE relaxed
# * formation energy without anion corrections: 1.24 eV per atom
# * calculated volume: 18.649 Å³ per atom
# * ρ: 10.17 g cm⁻³
# * SG: P4/mmm
data_CdNiW2S
_chemical_formula_sum 'Cd1 Ni1 W2 S1'
_cell_length_a 4.379
_cell_length_b 4.864
_cell_length_c 4.379
_cell_angle_alpha 90.00
_cell_angle_beta 90.00
_cell_angle_gamma 90.00
_symmetry_space_group_name_H-M 'P 1'
_symmetry_Int_Tables_number 1
_symmetry_space_group_name_Hall 'P 1'
loop_
_atom_site_label
_atom_site_type_symbol
_atom_site_fract_x
_atom_site_fract_y
_atom_site_fract_z
Ni1 Ni 0.500 0.500 0.500
S1 S 0.000 0.000 0.000
W1 W 0.000 0.000 0.500
W2 W 0.500 0.000 0.000
Cd1 Cd 0.000 0.500 0.000

# TmSiI PBE relaxed
# * formation energy without anion corrections: -0.97 eV per atom
# * calculated volume: 28.807 Å³ per atom
# * ρ: 6.22 g cm⁻³
# * SG: C2/m
data_TmSiI
_chemical_formula_sum 'Tm2 Si2 I2'
_cell_length_a 4.100
_cell_length_b 4.100
_cell_length_c 12.106
_cell_angle_alpha 90.15
_cell_angle_beta 99.59
_cell_angle_gamma 120.00
_symmetry_space_group_name_H-M 'P 1'
_symmetry_Int_Tables_number 1
_symmetry_space_group_name_Hall 'P 1'
loop_
_atom_site_label
_atom_site_type_symbol
_atom_site_fract_x
_atom_site_fract_y
_atom_site_fract_z
Tm1 Tm 0.898 0.448 0.346
Tm2 Tm 0.102 0.552 0.654
Si1 Si 0.327 0.164 0.491
Si2 Si 0.673 0.836 0.509
I1 I 0.547 0.276 0.824
I2 I 0.453 0.724 0.176